# 1
MnRe2PbBr | meta-GGA SCAN | PBEsol geometry

a = 4.5264 Å, b = 4.5264 Å, c = 4.7004 Å
α = 90.00°, β = 90.00°, γ = 90.00°
Positions (direct):
1 Mn 0.0000 0.0000 0.0000
2 Re 0.0000 0.5000 0.0000
3 Re 0.5000 0.0000 0.0000
4 Pb 0.5000 0.5000 0.5000
5 Br 0.0000 0.0000 0.5000

Properties
As for the electronic total energy: -49.4286 eV per atom. The formation energy without anion corrections is 1710 meV/atom.

# 2
MnPdBr2 | meta-GGA SCAN | PBEsol geometry

a = 3.7846 Å, b = 3.7846 Å, c = 23.2829 Å
α = 90.00°, β = 90.00°, γ = 120.00°
Positions (direct):
1 Mn 0.0000 0.0000 0.0000
2 Mn 0.3333 0.6667 0.6667
3 Mn 0.6667 0.3333 0.3333
4 Pd 0.0000 0.0000 0.5000
5 Pd 0.3333 0.6667 0.1667
6 Pd 0.6667 0.3333 0.8333
7 Br 0.0000 0.0000 0.1004
8 Br 0.0000 0.0000 0.8996
9 Br 0.3333 0.6667 0.5662
10 Br 0.3333 0.6667 0.7671
11 Br 0.6667 0.3333 0.2329
12 Br 0.6667 0.3333 0.4338

Properties
As for the electronic total energy: -22.5123 eV per atom. The formation energy without anion corrections is -25 meV/atom.

# 3
ZrMn2PdBr | meta-GGA SCAN | PBEsol geometry

a = 4.3864 Å, b = 4.3864 Å, c = 4.8950 Å
α = 90.00°, β = 90.00°, γ = 90.00°
Positions (direct):
1 Zr 0.0000 0.0000 0.0000
2 Mn 0.0000 0.5000 0.5000
3 Mn 0.5000 0.0000 0.5000
4 Pd 0.5000 0.5000 0.0000
5 Br 0.0000 0.0000 0.5000

Properties
As for the electronic total energy: -23.3249 eV per atom. The formation energy without anion corrections is 564 meV/atom.

# 4
MnPtBr2 | meta-GGA SCAN | PBEsol geometry

a = 3.1934 Å, b = 5.9481 Å, c = 8.2566 Å
α = 90.00°, β = 90.00°, γ = 90.00°
Positions (direct):
1 Mn 0.0000 0.0000 0.0000
2 Mn 0.5000 0.5000 0.0000
3 Pt 0.0000 0.0000 0.5000
4 Pt 0.5000 0.5000 0.5000
5 Br 0.0000 0.5000 0.2323
6 Br 0.0000 0.5000 0.7677
7 Br 0.5000 0.0000 0.2323
8 Br 0.5000 0.0000 0.7677

Properties
As for the electronic total energy: -31.5719 eV per atom. As for the relative energy among the computed polymorphs: 263 meV per atom. The formation energy without anion corrections is 270 meV/atom.

# 5
MnPtBr2 | meta-GGA SCAN | PBEsol geometry

a = 6.4342 Å, b = 8.1073 Å, c = 4.5797 Å
α = 90.00°, β = 134.03°, γ = 90.00°
Positions (direct):
1 Mn 0.0000 0.0000 0.0000
2 Mn 0.5000 0.5000 0.0000
3 Pt 0.0000 0.5000 0.0000
4 Pt 0.5000 0.0000 0.0000
5 Br 0.2500 0.2500 0.5000
6 Br 0.2500 0.7500 0.5000
7 Br 0.7500 0.2500 0.5000
8 Br 0.7500 0.7500 0.5000

Properties
As for the electronic total energy: -31.8353 eV per atom. As for the relative energy among the computed polymorphs: 0 meV per atom. The formation energy without anion corrections is 7 meV/atom.

# 6
MnPtBr2 | meta-GGA SCAN | PBEsol geometry

a = 3.3189 Å, b = 4.0710 Å, c = 5.8751 Å
α = 90.00°, β = 90.00°, γ = 90.00°
Positions (direct):
1 Mn 0.0000 0.0000 0.0000
2 Pt 0.5000 0.0000 0.5000
3 Br 0.0000 0.5000 0.5000
4 Br 0.5000 0.5000 0.0000

Properties
As for the electronic total energy: -31.7573 eV per atom. As for the relative energy among the computed polymorphs: 78 meV per atom. The formation energy without anion corrections is 84 meV/atom.